Version a
LaTb2Ga2: relaxed, GGA-PBE.

Cell: 3.7084 8.4267 8.4267 Å, 90.00 90.00 90.00°
With the nearest neighbours (Å) after each atom.
Positions (direct):
Tb 0.5000 0.6758 0.8242  6 Ga 3.08-3.13
Tb 0.5000 0.3242 0.1758  6 Ga 3.08-3.13
Tb 0.5000 0.8242 0.3242  6 Ga 3.08-3.13
Tb 0.5000 0.1758 0.6758  6 Ga 3.08-3.13
Ga 0.0000 0.8826 0.6174  1 Ga 2.80, 6 Tb 3.08-3.13
Ga 0.0000 0.6174 0.1174  1 Ga 2.80, 6 Tb 3.08-3.13
Ga 0.0000 0.3826 0.8826  1 Ga 2.80, 6 Tb 3.08-3.13
Ga 0.0000 0.1174 0.3826  1 Ga 2.80, 6 Tb 3.08-3.13
La 0.0000 0.0000 0.0000  4 Ga 3.37, 8 Tb 3.62, 2 La 3.71
La 0.0000 0.5000 0.5000  4 Ga 3.37, 8 Tb 3.62, 2 La 3.71

DOS at the Fermi energy, states/eV/cell: 13.811
SG: P4/mbm (127)
Magnetization, μB per atom: 0.00



Version b
LaTb2Ga2: relaxed, GGA-PBE.

Cell: 3.8257 5.8836 6.6643 Å, 101.96 106.68 90.00°
With the nearest neighbours (Å) after each atom.
Positions (direct):
Tb 0.3612 0.4313 0.7225  4 Ga 3.01-3.13
Tb 0.6388 0.5687 0.2775  4 Ga 3.01-3.13
La 0.0000 0.0000 0.0000  4 Ga 3.24
Ga 0.7093 0.1124 0.4187  2 Ga 2.66
Ga 0.2907 0.8876 0.5813  2 Ga 2.66

DOS at the Fermi energy, states/eV/cell: 5.705
SG: C2/m (12)
Magnetization, μB per atom: 0.00



Verdict on stability: version a comes out on top.



Version a
LaTbGa2: relaxed, GGA-PBE.

Cell: 5.2117 5.2117 5.2117 Å, 60.00 60.00 60.00°
With the nearest neighbours (Å) after each atom.
Positions (direct):
Ga 0.7500 0.7500 0.7500  4 Tb 3.19, 4 La 3.19
Ga 0.2500 0.2500 0.2500  4 Tb 3.19, 4 La 3.19
Tb 0.5000 0.5000 0.5000  8 Ga 3.19
La 0.0000 0.0000 0.0000  8 Ga 3.19

DOS at the Fermi energy, states/eV/cell: 1.709
SG: Fm-3m (225)
Magnetization, μB per atom: 0.00



Version b
LaTbGa2: relaxed, GGA-PBE.

Cell: 3.7754 3.7754 9.1838 Å, 78.14 78.14 60.00°
With the nearest neighbours (Å) after each atom.
Positions (direct):
Ga 0.7462 0.7462 0.7613  3 Tb 3.05, 3 La 3.19
Ga 0.2538 0.2538 0.2387  3 Tb 3.05, 3 La 3.19
Tb 0.0000 0.0000 0.0000  6 Ga 3.05
La 0.5000 0.5000 0.5000  6 Ga 3.19

DOS at the Fermi energy, states/eV/cell: 2.731
SG: R-3m (166)
Magnetization, μB per atom: 0.00



Verdict on stability: version a comes out on top.



Version a
LaTbGa2: relaxed, GGA-PBE.

Cell: 4.4509 4.1808 6.0728 Å, 90.00 111.48 90.00°
With the nearest neighbours (Å) after each atom.
Positions (direct):
Ga 0.1580 0.5000 0.8551  2 Ga 2.64
Ga 0.0155 0.0000 0.5701  2 Ga 2.64
Tb 0.7175 0.0000 0.9743  7 Ga 3.13-3.37
La 0.4399 0.5000 0.4185  7 Ga 3.17-3.32

DOS at the Fermi energy, states/eV/cell: 3.516
SG: Amm2 (38)
Magnetization, μB per atom: 0.00



Version b
LaTbGa2: relaxed, GGA-PBE.

Cell: 3.6744 3.6744 7.3588 Å, 90.00 90.00 90.00°
With the nearest neighbours (Å) after each atom.
Positions (direct):
Tb 0.5000 0.5000 0.0000  8 Ga 3.10
Ga 0.0000 0.0000 0.2288  4 Tb 3.10, 4 La 3.28, 1 Ga 3.37
Ga 0.0000 0.0000 0.7712  4 Tb 3.10, 4 La 3.28, 1 Ga 3.37
La 0.5000 0.5000 0.5000  8 Ga 3.28

DOS at the Fermi energy, states/eV/cell: 1.916
SG: P4/mmm (123)
Magnetization, μB per atom: 0.00



Verdict on stability: version a comes out on top.



Version a
LaTbGa: relaxed, GGA-PBE.

Cell: 5.0761 5.0654 9.5838 Å, 122.03 90.00 120.07°
With the nearest neighbours (Å) after each atom.
Positions (direct):
Ga 0.1211 0.2422 0.1794  1 Ga 2.72, 3 Tb 2.97
Ga 0.8789 0.7578 0.8206  1 Ga 2.72, 3 Tb 2.97
Tb 0.2578 0.5156 0.8877  3 Ga 2.97
Tb 0.7422 0.4844 0.1123  3 Ga 2.97
La 0.4028 0.8057 0.6065  4 Ga 3.23-3.35, 3 La 3.33-3.37, 3 Tb 3.62
La 0.5972 0.1943 0.3935  4 Ga 3.23-3.35, 3 La 3.33-3.37, 3 Tb 3.62

DOS at the Fermi energy, states/eV/cell: 4.364
SG: C2/m (12)
Magnetization, μB per atom: 0.00



Version b
LaTbGa: relaxed, GGA-PBE.

Cell: 4.7099 4.7098 7.9139 Å, 90.00 90.00 90.00°
With the nearest neighbours (Å) after each atom.
Positions (direct):
La 0.0000 0.5000 0.8593  5 Ga 3.10-3.44
La 0.5000 0.0000 0.1407  5 Ga 3.10-3.44
Tb 0.0000 0.0000 0.5000  4 Ga 3.07, 4 Tb 3.33
Tb 0.5000 0.5000 0.5000  4 Ga 3.07, 4 Tb 3.33
Ga 0.5000 0.0000 0.7496  4 Tb 3.07, 5 La 3.10-3.44
Ga 0.0000 0.5000 0.2504  4 Tb 3.07, 5 La 3.10-3.44

DOS at the Fermi energy, states/eV/cell: 7.316
SG: P4/nmm (129)
Magnetization, μB per atom: 0.17



Verdict on stability: version b comes out on top.



Version a
La2Tb3Ga4: relaxed, GGA-PBE.

Cell: 7.6967 8.1022 8.1057 Å, 90.00 90.00 106.62°
With the nearest neighbours (Å) after each atom.
Positions (direct):
Ga 0.6216 0.5039 0.6175  1 Ga 2.66
Ga 0.8784 0.4961 0.1175  1 Ga 2.66
Ga 0.3784 0.4961 0.3825  1 Ga 2.66
Ga 0.6288 0.9204 0.0326  1 Ga 2.71, 2 Tb 2.98-3.01
Ga 0.8712 0.0796 0.5326  1 Ga 2.71, 2 Tb 2.98-3.01
Ga 0.1216 0.5039 0.8825  1 Ga 2.66
Ga 0.1288 0.9204 0.4674  1 Ga 2.71, 2 Tb 2.98-3.01
Ga 0.3712 0.0796 0.9674  1 Ga 2.71, 2 Tb 2.98-3.01
Tb 0.0000 0.5000 0.5000  6 Ga 3.07-3.27
Tb 0.2514 0.2413 0.6752  6 Ga 2.98-3.11
Tb 0.2486 0.7587 0.1752  6 Ga 2.98-3.11
Tb 0.7514 0.2413 0.8248  6 Ga 2.98-3.11
Tb 0.5000 0.5000 0.0000  6 Ga 3.07-3.27
Tb 0.7486 0.7587 0.3248  6 Ga 2.98-3.11
La 0.5740 0.1909 0.3204  6 Ga 3.19-3.44
La 0.0740 0.1909 0.1796  6 Ga 3.19-3.44
La 0.4260 0.8091 0.6796  6 Ga 3.19-3.44
La 0.9260 0.8091 0.8204  6 Ga 3.19-3.44

DOS at the Fermi energy, states/eV/cell: 17.561
SG: P2_1/c (14)
Magnetization, μB per atom: 0.00



Version b
La2Tb3Ga4: relaxed, GGA-PBE.

Cell: 6.9972 8.6577 8.7780 Å, 90.00 113.49 90.00°
With the nearest neighbours (Å) after each atom.
Positions (direct):
Ga 0.3153 0.4610 0.6305  5 Tb 2.98-3.10
Ga 0.2144 0.7500 0.9288  3 Tb 2.84-2.93
Ga 0.8153 0.0390 0.6305  5 Tb 2.98-3.10
Ga 0.7144 0.7500 0.9288  3 Tb 2.84-2.93
Ga 0.2856 0.2500 0.0712  3 Tb 2.84-2.93
Ga 0.7856 0.2500 0.0712  3 Tb 2.84-2.93
Ga 0.6847 0.5390 0.3695  5 Tb 2.98-3.10
Ga 0.1847 0.9610 0.3695  5 Tb 2.98-3.10
Tb 0.0325 0.7500 0.5649  5 Ga 2.93-3.10
Tb 0.4675 0.2500 0.4351  5 Ga 2.93-3.10
Tb 0.9675 0.2500 0.4351  5 Ga 2.93-3.10
Tb 0.5000 0.5000 0.0000  6 Ga 2.84-2.99
Tb 0.0000 0.0000 0.0000  6 Ga 2.84-2.99
Tb 0.5325 0.7500 0.5649  5 Ga 2.93-3.10
La 0.1071 0.5761 0.2142  6 Ga 3.26-3.56, 2 Tb 3.65
La 0.3929 0.0761 0.7859  6 Ga 3.26-3.56, 2 Tb 3.65
La 0.8929 0.4239 0.7858  6 Ga 3.26-3.56, 2 Tb 3.65
La 0.6071 0.9239 0.2142  6 Ga 3.26-3.56, 2 Tb 3.65

DOS at the Fermi energy, states/eV/cell: 14.638
SG: Cmce (64)
Magnetization, μB per atom: 0.00



Verdict on stability: version a comes out on top.



Version a
La2TbGa: relaxed, GGA-PBE.

Cell: 3.7705 3.7705 8.7504 Å, 90.00 90.00 90.00°
With the nearest neighbours (Å) after each atom.
Positions (direct):
Tb 0.5000 0.5000 0.5000  8 La 3.69, 4 Tb 3.77
Ga 0.5000 0.5000 0.0000  8 La 3.23
La 0.0000 0.0000 0.2082  4 Ga 3.23
La 0.0000 0.0000 0.7918  4 Ga 3.23

DOS at the Fermi energy, states/eV/cell: 5.575
SG: P4/mmm (123)
Magnetization, μB per atom: 0.00



Version b
La2TbGa: relaxed, GGA-PBE.

Cell: 4.2238 6.5170 9.6036 Å, 90.00 90.00 108.90°
With the nearest neighbours (Å) after each atom.
Positions (direct):
La 0.6390 0.2777 0.0592  3 Ga 3.17-3.22
La 0.3610 0.7223 0.5592  3 Ga 3.17-3.22
La 0.3610 0.7223 0.9408  3 Ga 3.17-3.22
La 0.6390 0.2777 0.4408  3 Ga 3.17-3.22
Ga 0.2605 0.5210 0.2500  2 Tb 3.00, 6 La 3.17-3.22
Ga 0.7395 0.4790 0.7500  2 Tb 3.00, 6 La 3.17-3.22
Tb 0.0667 0.1330 0.7500  2 Ga 3.00
Tb 0.9333 0.8670 0.2500  2 Ga 3.00

DOS at the Fermi energy, states/eV/cell: 12.076
SG: Cmcm (63)
Magnetization, μB per atom: 0.00



Version c
La2TbGa: relaxed, GGA-PBE.

Cell: 5.5258 5.5258 5.5258 Å, 60.00 60.00 60.00°
With the nearest neighbours (Å) after each atom.
Positions (direct):
La 0.7500 0.7500 0.7500  4 Tb 3.38, 4 Ga 3.38
La 0.2500 0.2500 0.2500  4 Tb 3.38, 4 Ga 3.38
Ga 0.0000 0.0000 0.0000  8 La 3.38
Tb 0.5000 0.5000 0.5000  8 La 3.38

DOS at the Fermi energy, states/eV/cell: 7.031
SG: Fm-3m (225)
Magnetization, μB per atom: 0.00



Verdict on stability: version b comes out on top.